Run A
VASP calculation (GGA-PBE) on K2SrAu2 after structural relaxation.

Cell and atoms, written as CIF:
```
data_K2SrAu2
_cell_length_a 8.234
_cell_length_b 8.234
_cell_length_c 5.201
_cell_angle_alpha 90.00
_cell_angle_beta 90.00
_cell_angle_gamma 90.00
_symmetry_space_group_name_H-M 'P 1'
_symmetry_Int_Tables_number 1
_symmetry_space_group_name_Hall 'P 1'
loop_
_atom_site_label
_atom_site_type_symbol
_atom_site_fract_x
_atom_site_fract_y
_atom_site_fract_z
K1 K 0.161 0.339 0.000
K2 K 0.339 0.839 0.000
K3 K 0.661 0.161 0.000
K4 K 0.839 0.661 0.000
Sr1 Sr 0.000 0.000 0.500
Sr2 Sr 0.500 0.500 0.500
Au1 Au 0.124 0.624 0.500
Au2 Au 0.376 0.124 0.500
Au3 Au 0.624 0.876 0.500
Au4 Au 0.876 0.376 0.500
```

Crystal system: tetragonal
Total magnetic moment, μB per atom: 0.000



Run B
VASP calculation (GGA-PBE) on K2SrAu2 after structural relaxation.

Cell and atoms, written as CIF:
```
data_K2SrAu2
_cell_length_a 8.245
_cell_length_b 8.245
_cell_length_c 8.245
_cell_angle_alpha 146.56
_cell_angle_beta 146.56
_cell_angle_gamma 48.02
_symmetry_space_group_name_H-M 'P 1'
_symmetry_Int_Tables_number 1
_symmetry_space_group_name_Hall 'P 1'
loop_
_atom_site_label
_atom_site_type_symbol
_atom_site_fract_x
_atom_site_fract_y
_atom_site_fract_z
K1 K 0.250 0.750 0.500
K2 K 0.750 0.250 0.500
Sr1 Sr 0.000 0.000 0.000
Au1 Au 0.410 0.410 0.000
Au2 Au 0.590 0.590 0.000
```

Crystal system: tetragonal
Total magnetic moment, μB per atom: 0.000



Most stable structure among those shown: run A.